[1]
The following is a PBE calculation of BaCrTc2 after structural relaxation, from Alexandria via LeMat-Bulk.

Geometry as extended XYZ:
```
4
Lattice="3.128 0.000 0.000 0.000 3.128 0.000 0.000 0.000 7.975" Properties=species:S:1:pos:R:3 pbc="T T T"
Ba 0.000 0.000 0.000
Cr 0.000 0.000 3.988
Tc 1.564 1.564 2.711
Tc 1.564 1.564 5.264
```

excess energy over the best structure of this formula in the dataset	114	meV per atom
raw total energy	-7.40	eV per atom
density of states at the Fermi level	1.006	states/eV per atom
formation energy	0.670	eV per atom
symmetry	P4/mmm
M_tot	0.000	μB per atom

[2]
The following is a PBE calculation of CaHg2Bi3 after structural relaxation, from Alexandria via LeMat-Bulk.

Geometry as extended XYZ:
```
12
Lattice="8.910 -2.520 0.000 8.910 2.520 0.000 -1.228 0.000 8.321" Properties=species:S:1:pos:R:3 pbc="T T T"
Ca 2.399 0.000 2.157
Ca 14.194 0.000 6.164
Hg 3.310 0.000 5.369
Hg 7.433 0.000 6.154
Hg 9.160 0.000 2.168
Hg 13.283 0.000 2.953
Bi -0.144 0.000 7.204
Bi 5.483 0.000 0.096
Bi 6.043 0.000 3.461
Bi 10.550 0.000 4.860
Bi 11.109 0.000 8.225
Bi 16.737 0.000 1.117
```

raw total energy	-2.59	eV per atom
density of states at the Fermi level	0.361	states/eV per atom
formation energy	-0.220	eV per atom
symmetry	C2/m
M_tot	0.000	μB per atom

What is the formula in the second record?
CaHg2Bi3

Which value of density of states at the Fermi level does entry 1 give?
1.006 states/eV per atom

Repeat the first record exactly.
The following is a PBE calculation of BaCrTc2 after structural relaxation, from Alexandria via LeMat-Bulk.

Geometry as extended XYZ:
```
4
Lattice="3.128 0.000 0.000 0.000 3.128 0.000 0.000 0.000 7.975" Properties=species:S:1:pos:R:3 pbc="T T T"
Ba 0.000 0.000 0.000
Cr 0.000 0.000 3.988
Tc 1.564 1.564 2.711
Tc 1.564 1.564 5.264
```

excess energy over the best structure of this formula in the dataset	114	meV per atom
raw total energy	-7.40	eV per atom
density of states at the Fermi level	1.006	states/eV per atom
formation energy	0.670	eV per atom
symmetry	P4/mmm
M_tot	0.000	μB per atom

density of states at the Fermi level of number 2 (CaHg2Bi3)?
0.361 states/eV per atom